Arrangement i

Below is crystalline Zr4Cu at its relaxed geometry, with properties calculated at the PBE-GGA level.

## Properties
- space-group type = Fdd2, No. 43

abc: 7.2633 6.2178 8.6192
angles: 55.83 45.10 79.07
Closest atoms and distances in Å follow each position.
Fractional positions:
Zr  0.1316  0.3416  0.9859  2 Cu 2.77-2.82, 3 Zr 2.95-3.09
Zr  0.2641  0.7091  0.1184  2 Cu 2.77-2.82, 3 Zr 2.95-3.09
Zr  0.3146  0.6854  0.4564  2 Cu 2.79-2.85, 6 Zr 2.95-3.12
Zr  0.3416  0.1316  0.5409  2 Cu 2.77-2.82, 3 Zr 2.95-3.09
Zr  0.6854  0.3146  0.5436  2 Cu 2.79-2.85, 6 Zr 2.95-3.12
Zr  0.7064  0.7936  0.5646  2 Cu 2.79-2.85, 6 Zr 2.95-3.12
Zr  0.7091  0.2641  0.9084  2 Cu 2.77-2.82, 3 Zr 2.95-3.09
Zr  0.7936  0.7064  0.9354  2 Cu 2.79-2.85, 6 Zr 2.95-3.12
Cu  0.1400  0.1400  0.3600  8 Zr 2.77-2.85
Cu  0.8900  0.8900  0.1100  8 Zr 2.77-2.85

Arrangement ii

Below is crystalline Zr4Cu at its relaxed geometry, with properties calculated at the PBE-GGA level.

## Properties
- space-group type = I4/m, No. 87

abc: 5.9151 5.9151 5.9151
angles: 94.30 94.30 148.22
Closest atoms and distances in Å follow each position.
Fractional positions:
Zr  0.0814  0.2794  0.3607  2 Cu 2.85, 4 Zr 3.13
Zr  0.2794  0.9186  0.1980  2 Cu 2.85, 4 Zr 3.13
Zr  0.7206  0.0814  0.8020  2 Cu 2.85, 4 Zr 3.13
Zr  0.9186  0.7206  0.6393  2 Cu 2.85, 4 Zr 3.13
Cu  0.5000  0.5000  0.0000  8 Zr 2.85

Here is how they stack up, most stable first: arrangement ii, arrangement i.

Arrangement i

Below is crystalline Zr4Cu3 at its relaxed geometry, with properties calculated at the PBE-GGA level.

## Properties
- space-group type = P6/mmm, No. 191

abc: 5.1962 5.1962 5.4045
angles: 90.00 90.00 120.00
Closest atoms and distances in Å follow each position.
Fractional positions:
Zr  0.0000  0.0000  0.2467  2 Zr 2.67-2.74, 6 Cu 2.94
Zr  0.0000  0.0000  0.7533  2 Zr 2.67-2.74, 6 Cu 2.94
Zr  0.3333  0.6667  0.0000  9 Zr 3.00-3.28, 6 Cu 3.09
Zr  0.6667  0.3333  0.0000  9 Zr 3.00-3.28, 6 Cu 3.09
Cu  0.0000  0.5000  0.5000  4 Cu 2.60
Cu  0.5000  0.0000  0.5000  4 Cu 2.60
Cu  0.5000  0.5000  0.5000  4 Cu 2.60

Arrangement ii

Below is crystalline Zr4Cu3 at its relaxed geometry, with properties calculated at the PBE-GGA level.

## Properties
- space-group type = I4/mmm, No. 139

abc: 12.4399 12.4399 12.4399
angles: 164.97 164.97 21.31
Closest atoms and distances in Å follow each position.
Fractional positions:
Zr  0.0709  0.0709  0.0000  4 Cu 2.88, 4 Zr 3.13
Zr  0.3422  0.3422  0.0000  5 Cu 2.83-2.86, 4 Zr 3.13
Zr  0.6578  0.6578  0.0000  5 Cu 2.83-2.86, 4 Zr 3.13
Zr  0.9291  0.9291  0.0000  4 Cu 2.88, 4 Zr 3.13
Cu  0.2254  0.2254  0.0000  4 Cu 2.60, 5 Zr 2.83-2.86
Cu  0.5000  0.5000  0.0000  8 Zr 2.88
Cu  0.7746  0.7746  0.0000  4 Cu 2.60, 5 Zr 2.83-2.86

Here is how they stack up, most stable first: arrangement ii, arrangement i.